<one>
3
Lattice="0.000 2.910 2.910 2.910 0.000 2.910 2.910 2.910 0.000" Properties=species:S:1:pos:R:3 comment="ThCF (GGA-PBE, relaxed)" density_g_cm3=8.860 crystal_system=cubic dos_ef_per_ev_fu=2.80 total_magnetization_mub_per_cell=0.9 pbc="T T T"
Th 0.000 0.000 0.000
C 4.365 4.365 4.365
F 1.455 1.455 1.455



<two>
3
Lattice="-1.753 1.753 3.830 1.753 -1.753 3.830 1.753 1.753 -3.830" Properties=species:S:1:pos:R:3 comment="ThCF (GGA-PBE, relaxed)" density_g_cm3=9.280 crystal_system=tetragonal dos_ef_per_ev_fu=1.20 total_magnetization_mub_per_cell=1.0 pbc="T T T"
Th 0.000 0.000 0.000
C 0.000 0.000 4.665
F 0.000 0.000 2.357



Stability check: which of them is least stable? <two>.



<one>
8
Lattice="-2.398 2.398 4.756 2.398 -2.398 4.756 2.398 2.398 -4.756" Properties=species:S:1:pos:R:3 comment="Ti2CF (GGA-PBE, relaxed)" density_g_cm3=3.847 crystal_system=tetragonal dos_ef_per_ev_fu=2.33 total_magnetization_mub_per_cell=0.0 pbc="T T T"
Ti 3.598 1.049 -1.189
Ti 1.049 1.199 1.189
Ti -1.199 1.349 3.567
Ti 1.349 1.199 5.945
C 0.000 0.000 0.000
C 0.000 2.398 2.378
F 2.398 0.000 2.378
F 0.000 0.000 4.756



<two>
4
Lattice="0.000 2.735 2.735 2.735 0.000 2.735 2.735 2.735 0.000" Properties=species:S:1:pos:R:3 comment="Ti2CF (GGA-PBE, relaxed)" density_g_cm3=5.146 crystal_system=cubic dos_ef_per_ev_fu=1.94 total_magnetization_mub_per_cell=0.0 pbc="T T T"
Ti 1.367 1.367 1.367
Ti 4.102 4.102 4.102
C 0.000 0.000 0.000
F 2.735 2.735 2.735



Stability check: which of them is least stable? <two>.



<one>
4
Lattice="0.000 3.038 3.038 3.038 0.000 3.038 3.038 3.038 0.000" Properties=species:S:1:pos:R:3 comment="TlCF2 (GGA-PBE, relaxed)" density_g_cm3=7.535 crystal_system=cubic dos_ef_per_ev_fu=4.31 total_magnetization_mub_per_cell=1.0 pbc="T T T"
Tl 0.000 0.000 0.000
C 3.038 3.038 3.038
F 1.519 1.519 1.519
F 4.557 4.557 4.557



<two>
4
Lattice="1.859 1.073 7.015 -1.859 1.073 7.015 0.000 -2.147 7.015" Properties=species:S:1:pos:R:3 comment="TlCF2 (GGA-PBE, relaxed)" density_g_cm3=5.030 crystal_system=trigonal dos_ef_per_ev_fu=1.66 total_magnetization_mub_per_cell=1.0 pbc="T T T"
Tl 0.000 0.000 0.000
C 0.000 0.000 10.523
F 0.000 0.000 8.755
F 0.000 0.000 12.290



<three>
8
Lattice="-2.508 2.508 5.952 2.508 -2.508 5.952 2.508 2.508 -5.952" Properties=species:S:1:pos:R:3 comment="TlCF2 (GGA-PBE, relaxed)" density_g_cm3=5.642 crystal_system=tetragonal dos_ef_per_ev_fu=0.10 total_magnetization_mub_per_cell=2.0 pbc="T T T"
Tl 0.000 0.000 0.000
Tl 0.000 2.508 2.976
C 2.508 0.000 2.976
C 0.000 0.000 5.952
F 1.254 -0.550 4.464
F 1.958 1.254 1.488
F 1.254 3.059 -1.488
F 0.550 1.254 7.440



Stability check: which of them is least stable? <one>.



<one>
4
Lattice="1.741 1.005 6.161 -1.741 1.005 6.161 0.000 -2.010 6.161" Properties=species:S:1:pos:R:3 comment="Tm2CF (GGA-PBE, relaxed)" density_g_cm3=9.471 crystal_system=trigonal dos_ef_per_ev_fu=2.33 total_magnetization_mub_per_cell=0.0 pbc="T T T"
Tm 0.000 0.000 0.000
Tm 0.000 0.000 3.604
C 0.000 0.000 11.021
F 0.000 0.000 14.237



<two>
8
Lattice="3.477 0.000 0.000 0.000 6.085 0.000 0.000 0.000 6.006" Properties=species:S:1:pos:R:3 comment="Tm2CF (GGA-PBE, relaxed)" density_g_cm3=9.642 crystal_system=orthorhombic dos_ef_per_ev_fu=1.10 total_magnetization_mub_per_cell=0.0 pbc="T T T"
Tm 0.869 0.037 1.333
Tm 0.869 3.006 1.333
Tm 2.607 3.079 4.673
Tm 2.607 6.048 4.673
C 0.869 4.564 5.432
C 2.607 1.521 0.574
F 0.869 1.521 3.495
F 2.607 4.564 2.511



Stability check: which of them is least stable? <two>.



<one>
3
Lattice="-1.644 1.644 4.912 1.644 -1.644 4.912 1.644 1.644 -4.912" Properties=species:S:1:pos:R:3 comment="UCF (GGA-PBE, relaxed)" density_g_cm3=8.412 crystal_system=tetragonal dos_ef_per_ev_fu=3.30 total_magnetization_mub_per_cell=0.7 pbc="T T T"
U 0.000 0.000 0.000
C 0.000 0.000 5.004
F 0.000 0.000 2.107



<two>
6
Lattice="3.507 -1.788 0.000 3.507 1.788 0.000 -0.896 0.000 6.727" Properties=species:S:1:pos:R:3 comment="UCF (GGA-PBE, relaxed)" density_g_cm3=10.592 crystal_system=monoclinic dos_ef_per_ev_fu=4.84 total_magnetization_mub_per_cell=3.3 pbc="T T T"
U 0.891 0.000 1.362
U 5.228 0.000 5.365
C 2.916 0.000 0.397
C 3.203 0.000 6.330
F 0.668 0.000 4.095
F 5.451 0.000 2.632



<three>
3
Lattice="3.618 0.000 0.000 -1.809 3.133 0.000 0.000 0.000 5.045" Properties=species:S:1:pos:R:3 comment="UCF (GGA-PBE, relaxed)" density_g_cm3=7.812 crystal_system=trigonal dos_ef_per_ev_fu=4.59 total_magnetization_mub_per_cell=1.0 pbc="T T T"
U 0.000 0.000 0.000
C 1.809 1.044 4.280
F 0.000 2.089 1.228



Stability check: which of them is least stable? <one>.